An optimized crystal structure of KCu2GeSe4, computed with GGA-PBE.

extended XYZ file:
```
16
Lattice="6.644 0.000 0.000 0.000 6.644 0.000 0.000 0.000 8.906" Properties=species:S:1:pos:R:3 pbc="T T T"
K 0.000 0.000 0.000
K 3.322 3.322 4.453
Cu 0.000 3.322 2.226
Cu 0.000 3.322 6.679
Cu 3.322 0.000 2.226
Cu 3.322 0.000 6.679
Ge 0.000 0.000 4.453
Ge 3.322 3.322 0.000
Se 1.356 1.356 5.897
Se 1.356 5.288 3.008
Se 1.966 1.966 1.445
Se 1.966 4.677 7.461
Se 4.677 1.966 7.461
Se 4.677 4.677 1.445
Se 5.288 1.356 3.008
Se 5.288 5.288 5.897
```

Output
Total magnetic moment = 0.000 μB/atom
Formation energy from raw total energies = -0.39 eV per atom

---

An optimized crystal structure of ScAuS2Cl, computed with GGA-PBE.

extended XYZ file:
```
5
Lattice="4.909 0.000 0.000 0.000 4.909 0.000 0.000 0.000 4.756" Properties=species:S:1:pos:R:3 pbc="T T T"
Sc 0.000 0.000 0.000
Au 2.454 2.454 2.378
S 0.000 2.454 2.378
S 2.454 0.000 2.378
Cl 2.454 2.454 0.000
```

Output
Total magnetic moment = 0.066 μB/atom
Excess energy over the best structure of this formula in the dataset = 1.84 eV per formula unit
Formation energy from raw total energies = -0.05 eV per atom

---

An optimized crystal structure of Ba2LiTiCo, computed with GGA-PBE.

extended XYZ file:
```
5
Lattice="6.150 0.000 0.000 0.000 6.150 0.000 0.000 0.000 4.947" Properties=species:S:1:pos:R:3 pbc="T T T"
Ba 0.000 3.075 0.000
Ba 3.075 0.000 0.000
Li 0.000 0.000 2.473
Ti 0.000 0.000 0.000
Co 3.075 3.075 2.473
```

Output
Total magnetic moment = 1.004 μB/atom
Formation enthalpy at 0 K = 1240 meV per atom

---

An optimized crystal structure of Er3MgCo8, computed with GGA-PBE.

extended XYZ file:
```
12
Lattice="2.495 1.441 8.167 -2.495 1.441 8.167 0.000 -2.881 8.167" Properties=species:S:1:pos:R:3 pbc="T T T"
Er 0.000 0.000 0.000
Er 0.000 0.000 3.117
Er 0.000 0.000 15.203
Mg 0.000 0.000 12.206
Co 0.000 -1.437 5.572
Co -1.245 0.719 5.572
Co -1.240 -0.716 9.707
Co 0.000 0.000 7.636
Co 1.245 0.719 5.572
Co 1.240 -0.716 9.707
Co 0.000 1.432 9.707
Co 0.000 0.000 19.898
```

Output
Total magnetic moment = 0.716 μB/atom
Formation enthalpy at 0 K = -206 meV per atom

---

An optimized crystal structure of PuNiGe2, computed with GGA-PBE.

extended XYZ file:
```
4
Lattice="3.147 0.000 0.000 0.000 3.147 0.000 0.000 0.000 6.949" Properties=species:S:1:pos:R:3 pbc="T T T"
Pu 0.000 0.000 0.000
Ni 0.000 0.000 3.475
Ge 1.574 1.574 2.123
Ge 1.574 1.574 4.826
```

Output
Total magnetic moment = 1.529 μB/atom
Formation enthalpy at 0 K = -263 meV per atom

---

An optimized crystal structure of Zn3FeB, computed with GGA-PBE.

extended XYZ file:
```
5
Lattice="4.096 0.000 0.000 0.000 4.096 0.000 0.000 0.000 4.096" Properties=species:S:1:pos:R:3 pbc="T T T"
Zn 0.000 0.000 2.048
Zn 0.000 2.048 0.000
Zn 2.048 0.000 0.000
Fe 2.048 2.048 2.048
B 0.000 0.000 0.000
```

Output
Total magnetic moment = 0.542 μB/atom
Excess energy over the best structure of this formula in the dataset = 0.00 eV per formula unit
Formation enthalpy at 0 K = 599 meV per atom